A plane-wave DFT calculation with PBE was carried out for crystalline Tm2Si4GePt3 at its relaxed geometry.

Computed properties:
Formation energy (no corrections) ... -8.66 eV per formula unit
Calculated density ... 10.55 g/cm3

Geometry as CIF:
```
data_Tm2Si4GePt3
_space_group_name_H-M_alt 'P -4 m 2'
_space_group_IT_number 115
_space_group_name_Hall 'P -4 -2'
_cell_length_a 4.186
_cell_length_b 4.186
_cell_length_c 9.951
_cell_angle_alpha 90.00
_cell_angle_beta 90.00
_cell_angle_gamma 90.00
loop_
_atom_site_label
_atom_site_type_symbol
_atom_site_fract_x
_atom_site_fract_y
_atom_site_fract_z
_atom_site_occupancy
Tm1 Tm 0.000 0.500 0.247 1
Si1 Si 0.000 0.000 0.000 1
Si2 Si 0.000 0.500 0.640 1
Si3 Si 0.500 0.500 0.000 1
Ge1 Ge 0.000 0.000 0.500 1
Pt1 Pt 0.000 0.500 0.875 1
Pt2 Pt 0.500 0.500 0.500 1
```